Here is BaScVO4 after structural relaxation from Alexandria via LeMat-Bulk. Energies are from PBE+U.

Properties
Total DFT energy (no corrections): -7.436 eV/atom
Space-group type: F-43m, No. 216
Total moment: 1.992 μB/f.u.

Lattice parameters (Å, degrees): 6.2301 6.2301 6.2301 60.00 60.00 60.00
Last column: nearest neighbours and their distance in Å.
Sites, in units of the cell vectors:
Ba  0.7500  0.7500  0.7500  12 O 3.66, 4 Sc 3.82
Sc  0.5000  0.5000  0.5000  4 O 1.93
O  0.3735  0.3735  0.3735  1 V 1.88, 1 Sc 1.93
O  0.3735  0.8796  0.3735  1 V 1.88, 1 Sc 1.93
O  0.3735  0.3735  0.8796  1 V 1.88, 1 Sc 1.93
O  0.8796  0.3735  0.3735  1 V 1.88, 1 Sc 1.93
V  0.2500  0.2500  0.2500  4 O 1.88